VSbNF2 | PBE+U | optimized geometry

Summary:
Energy above the most stable polymorph in this dataset (meV/atom): 551

Geometry as POSCAR:
```
VSbNF2
1.0
4.404 0.000 0.000
0.000 4.404 0.000
0.000 0.000 4.261
V Sb N F
1 1 1 2
Cartesian
0.000 0.000 0.000
2.202 2.202 2.130
2.202 2.202 0.000
0.000 2.202 2.130
2.202 0.000 2.130
```